DFT (GGA-PBE) results for a relaxed structure of OsRuPt2.

Results
- symmetry = No. 216
- relative energy among the computed polymorphs (eV per atom) = 0.490
- E_form (meV per atom) = 480
- E (Ry per atom) = -0.5635

a = 4.4325 Å, b = 4.4325 Å, c = 4.4325 Å
α = 60.00°, β = 60.00°, γ = 60.00°
Last column: magnetic moment on the atom in μB.
Element x y z (fractional)
Os  0.5000  0.5000  0.5000  1.12
Pt  0.0000  0.0000  0.0000  0.17
Pt  0.2500  0.2500  0.2500  0.21
Ru  0.7500  0.7500  0.7500  1.17

=====

DFT (GGA-PBE) results for a relaxed structure of HfBi3Ir.

Results
- symmetry = No. 221
- relative energy among the computed polymorphs (eV per atom) = 0.000
- E_form (meV per atom) = 829
- E (Ry per atom) = -0.3868

a = 5.3173 Å, b = 5.3173 Å, c = 5.3173 Å
α = 90.00°, β = 90.00°, γ = 90.00°
Element x y z (fractional)
Ir  0.0000  0.0000  0.0000
Hf  0.5000  0.5000  0.5000
Bi  0.0000  0.5000  0.0000
Bi  0.0000  0.0000  0.5000
Bi  0.5000  0.0000  0.0000

=====

DFT (GGA-PBE) results for a relaxed structure of Nb3VN.

Results
- symmetry = No. 10
- relative energy among the computed polymorphs (eV per atom) = 0.000
- E (Ry per atom) = -0.7328

a = 2.9950 Å, b = 5.7885 Å, c = 8.9662 Å
α = 90.00°, β = 90.00°, γ = 76.39°
Element x y z (fractional)
Nb  0.1150  0.7300  0.4999
Nb  0.8850  0.2700  0.5001
Nb  0.8850  0.2700  0.9999
Nb  0.1150  0.7300  0.0001
Nb  0.4999  0.0002  0.2500
Nb  0.5001  0.9998  0.7500
V  0.5005  0.4999  0.2500
V  0.4995  0.5001  0.7500
N  0.5000  0.0000  0.0000
N  0.5000  0.0000  0.5000